No. 1
# ReC3Se, optimized geometry, DFT PBE
data_ReC3Se
_cell_length_a 4.0935
_cell_length_b 4.0935
_cell_length_c 4.0935
_cell_angle_alpha 90.00
_cell_angle_beta 90.00
_cell_angle_gamma 90.00
_space_group_name_H-M_alt 'P 1'
_space_group_IT_number 1
loop_
_space_group_symop_operation_xyz
'x,y,z'
loop_
_atom_site_label
_atom_site_fract_x
_atom_site_fract_y
_atom_site_fract_z
Re1 0.0000 0.0000 0.0000
C1 0.0000 0.0000 0.5000
C2 0.0000 0.5000 0.0000
C3 0.5000 0.0000 0.0000
Se1 0.5000 0.5000 0.5000
# M_tot: 0.0 μB/cell
# Space-group type: Pm-3m
# Relative energy among the computed polymorphs: 0.000 eV per atom
# ΔE_f (raw): 10.384 eV per formula unit

No. 2
# TiReC2Se, optimized geometry, DFT PBE
data_TiReC2Se
_cell_length_a 3.9382
_cell_length_b 3.9382
_cell_length_c 4.8905
_cell_angle_alpha 90.00
_cell_angle_beta 90.00
_cell_angle_gamma 90.00
_space_group_name_H-M_alt 'P 1'
_space_group_IT_number 1
loop_
_space_group_symop_operation_xyz
'x,y,z'
loop_
_atom_site_label
_atom_site_fract_x
_atom_site_fract_y
_atom_site_fract_z
Ti1 0.0000 0.0000 0.0000
Re1 0.5000 0.5000 0.5000
C1 0.0000 0.5000 0.0000
C2 0.5000 0.0000 0.0000
Se1 0.0000 0.0000 0.5000
# M_tot: 0.0 μB/cell
# Space-group type: P4/mmm
# ΔE_f (raw): 9.935 eV per formula unit